Compound: CeDy2Ho6
Source: the Alexandria database
Functional: PBE
Structure: relaxed

The calculation puts the calculated density at 8.48 g cm⁻³. The formation energy is 2.77 eV per formula unit. Its calculated total energy is -119.50 eV per cell.

The structure belongs to space group R3m (No. 160, hexagonal axes); the cell edges are 7.2421, 7.2421 and 18.8246 Å and the angles 90.00°, 90.00° and 120.00°. The inequivalent atoms are Ce at (0.0000, 0.0000, 0.0000), Dy at (0.0000, 0.0000, 0.5616), Dy at (0.0000, 0.0000, 0.7392), Ho at (0.1726, 0.3452, 0.8856) and Ho at (0.1847, 0.3694, 0.0798).

=====

Compound: CeDy2Ho
Source: the Alexandria database
Functional: PBE
Structure: relaxed

The calculation puts the calculated density at 8.52 g cm⁻³. The formation energy is 0.69 eV per formula unit. Its calculated total energy is -57.07 eV per cell.

The structure belongs to space group R-3m (No. 166, hexagonal axes); the cell edges are 3.4007, 3.4007 and 36.7900 Å and the angles 90.00°, 90.00° and 120.00°. The inequivalent atoms are Ce at (0.0000, 0.0000, 0.0000), Dy at (0.0000, 0.0000, 0.0888) and Ho at (0.0000, 0.0000, 0.5000).

=====

Compound: Ce2Dy12Ho5
Source: the Alexandria database
Functional: PBE
Structure: relaxed

The calculation puts the calculated density at 8.52 g cm⁻³. The formation energy is 1.95 eV per formula unit. Its calculated total energy is -88.03 eV per cell.

The structure belongs to space group P-1 (No. 2); the cell edges are 6.160, 10.071 and 10.473 Å and the angles 66.99°, 84.60° and 87.50°. The inequivalent atoms are Ce at (0.199, 0.483, 0.041), Dy at (0.027, 0.153, 0.340), Dy at (0.097, 0.833, 0.995), Dy at (0.112, 0.171, 0.667), Dy at (0.388, 0.672, 0.470), Dy at (0.416, 0.327, 0.846), Dy at (0.451, 0.700, 0.764), Ho at (0.073, 0.495, 0.336), Ho at (0.403, 0.003, 0.164) and Ho at (0.500, 0.000, 0.500).

=====

Compound: CeDy2Ho5
Source: the Alexandria database
Functional: PBE
Structure: relaxed

The calculation puts the calculated density at 8.61 g cm⁻³. The formation energy is 0.33 eV per formula unit. Its calculated total energy is -75.40 eV per cell.

The structure belongs to space group Pbam (No. 55); the cell edges are 7.059, 14.124 and 4.989 Å and the angles 90.00°, 90.00° and 90.00°. The inequivalent atoms are Ce at (0.000, 0.000, 0.000), Dy at (0.247, 0.124, 0.500), Ho at (0.000, 0.500, 0.000), Ho at (0.001, 0.250, 0.000) and Ho at (0.246, 0.876, 0.500).

=====

Compound: CeDyHo2
Source: the Alexandria database
Functional: PBE
Structure: relaxed

The calculation puts the calculated density at 8.53 g cm⁻³. The formation energy is 0.24 eV per formula unit. Its calculated total energy is -19.45 eV per cell.

The structure belongs to space group P4/mmm (No. 123); the cell edges are 3.515, 3.515 and 9.963 Å and the angles 90.00°, 90.00° and 90.00°. The inequivalent atoms are Ce at (0.000, 0.000, 0.000), Dy at (0.000, 0.000, 0.500) and Ho at (0.500, 0.500, 0.246).

=====

Compound: Ce2DyHo8
Source: the Alexandria database
Functional: PBE
Structure: relaxed

The calculation puts the calculated density at 8.20 g cm⁻³. The formation energy is 2.29 eV per formula unit. Its calculated total energy is -101.60 eV per cell.

The structure belongs to space group C2/m (No. 12); the cell edges are 18.570, 6.969 and 5.520 Å and the angles 90.00°, 92.64° and 90.00°. The inequivalent atoms are Ce at (0.215, 0.000, 0.257), Dy at (0.000, 0.500, 0.000), Ho at (0.047, 0.000, 0.238), Ho at (0.131, 0.233, 0.735) and Ho at (0.186, 0.500, 0.233).

=====

Compound: CeDy12Ho7
Source: the Alexandria database
Functional: PBE
Structure: relaxed

The calculation puts the calculated density at 8.45 g cm⁻³. The formation energy is 3.57 eV per formula unit. Its calculated total energy is -268.91 eV per cell.

The structure belongs to space group R-3 (No. 148, hexagonal axes); the cell edges are 14.9452, 14.9452 and 9.8939 Å and the angles 90.00°, 90.00° and 120.00°. The inequivalent atoms are Ce at (0.0000, 0.0000, 0.0000), Dy at (0.0360, 0.7861, 0.5753), Dy at (0.0446, 0.8503, 0.2558), Ho at (0.0000, 0.0000, 0.5000) and Ho at (0.0699, 0.8249, 0.9298).

=====

Compound: CeDyHo2In4
Source: the Alexandria database
Functional: PBE
Structure: relaxed

The calculation puts the calculated density at 8.38 g cm⁻³. The formation energy is -3.40 eV per formula unit. Its calculated total energy is -102.13 eV per cell.

The structure belongs to space group R-3m (No. 166, hexagonal axes); the cell edges are 5.3373, 5.3373 and 26.3089 Å and the angles 90.00°, 90.00° and 120.00°. The inequivalent atoms are Ce at (0.0000, 0.0000, 0.0000), Dy at (0.0000, 0.0000, 0.5000), Ho at (0.0000, 0.0000, 0.2496), In at (0.0000, 0.0000, 0.1263) and In at (0.0000, 0.0000, 0.3764).